[1]
{
  "formula": "Pa3Pt4",
  "functional": "PBE",
  "state": "relaxed",
  "lattice_angstrom": [[-4.253, 4.253, 4.253], [4.253, -4.253, 4.253], [4.253, 4.253, -4.253]],
  "species": ["Pa", "Pa", "Pa", "Pa", "Pa", "Pa", "Pt", "Pt", "Pt", "Pt", "Pt", "Pt", "Pt", "Pt"],
  "frac_coords": [[0.125, 0.875, 0.250], [0.250, 0.125, 0.875], [0.375, 0.625, 0.750], [0.625, 0.750, 0.375], [0.750, 0.375, 0.625], [0.875, 0.250, 0.125], [0.000, 0.161, 0.500], [0.000, 0.661, 0.500], [0.161, 0.500, 0.000], [0.339, 0.339, 0.339], [0.500, 0.000, 0.161], [0.500, 0.000, 0.661], [0.661, 0.500, 0.000], [0.839, 0.839, 0.839]],
  "space_group": "No. 220",
  "n_ef_per_ev_atom": 2.026
}



[2]
{
  "formula": "PaPt7",
  "functional": "PBE",
  "state": "relaxed",
  "lattice_angstrom": [[-2.055, 2.055, 8.040], [2.055, -2.055, 8.040], [2.055, 2.055, -8.040]],
  "species": ["Pa", "Pt", "Pt", "Pt", "Pt", "Pt", "Pt", "Pt"],
  "frac_coords": [[0.000, 0.000, 0.000], [0.126, 0.626, 0.500], [0.254, 0.254, 0.000], [0.374, 0.874, 0.500], [0.500, 0.500, 0.000], [0.626, 0.126, 0.500], [0.746, 0.746, 0.000], [0.874, 0.374, 0.500]],
  "space_group": "No. 139",
  "n_ef_per_ev_atom": 0.908
}



[3]
{
  "formula": "Pa3Pt",
  "functional": "PBE",
  "state": "relaxed",
  "lattice_angstrom": [[-1.655, 5.034, 2.804], [1.655, -5.034, 2.804], [1.655, 5.034, -2.804]],
  "species": ["Pa", "Pa", "Pa", "Pt"],
  "frac_coords": [[0.000, 0.000, 0.000], [0.314, 0.545, 0.769], [0.776, 0.545, 0.231], [0.440, 0.940, 0.500]],
  "space_group": "No. 44",
  "n_ef_per_ev_atom": 1.712,
  "e_above_lowest_polymorph_mev_per_atom": 0.0
}



[4]
{
  "formula": "Pa4Pt",
  "functional": "PBE",
  "state": "relaxed",
  "lattice_angstrom": [[6.691, 0.000, 0.000], [0.000, 6.691, 0.000], [0.000, 0.000, 5.338]],
  "species": ["Pa", "Pa", "Pa", "Pa", "Pa", "Pa", "Pa", "Pa", "Pt", "Pt"],
  "frac_coords": [[0.141, 0.320, 0.000], [0.141, 0.680, 0.500], [0.320, 0.141, 0.500], [0.320, 0.859, 0.000], [0.680, 0.141, 0.000], [0.680, 0.859, 0.500], [0.859, 0.320, 0.500], [0.859, 0.680, 0.000], [0.500, 0.500, 0.250], [0.500, 0.500, 0.750]],
  "space_group": "No. 124",
  "n_ef_per_ev_atom": 2.057,
  "e_above_lowest_polymorph_mev_per_atom": 0.0
}



[5]
{
  "formula": "Pa3Pt",
  "functional": "PBE",
  "state": "relaxed",
  "lattice_angstrom": [[4.539, 0.000, 0.000], [0.000, 5.007, 0.000], [0.000, 0.000, 4.022]],
  "species": ["Pa", "Pa", "Pa", "Pt"],
  "frac_coords": [[0.000, 0.000, 0.000], [0.000, 0.500, 0.347], [0.500, 0.500, 0.860], [0.500, 0.000, 0.477]],
  "space_group": "No. 25",
  "n_ef_per_ev_atom": 2.196,
  "e_above_lowest_polymorph_mev_per_atom": 116.5
}



[6]
{
  "formula": "PaPt4",
  "functional": "PBE",
  "state": "relaxed",
  "lattice_angstrom": [[4.614, 0.000, 0.000], [0.000, 5.281, 0.000], [-2.830, 0.000, 7.732]],
  "species": ["Pa", "Pa", "Pt", "Pt", "Pt", "Pt", "Pt", "Pt", "Pt", "Pt"],
  "frac_coords": [[0.000, 0.000, 0.000], [0.000, 0.500, 0.500], [0.188, 0.022, 0.407], [0.188, 0.478, 0.907], [0.423, 0.099, 0.770], [0.423, 0.401, 0.270], [0.577, 0.599, 0.730], [0.577, 0.901, 0.230], [0.812, 0.522, 0.093], [0.812, 0.978, 0.593]],
  "space_group": "No. 14",
  "n_ef_per_ev_atom": 0.623
}



[7]
{
  "formula": "Pa13Pt2",
  "functional": "PBE",
  "state": "relaxed",
  "lattice_angstrom": [[6.430, 0.000, 0.000], [0.419, 7.954, 0.000], [0.875, 3.827, 7.099]],
  "species": ["Pa", "Pa", "Pa", "Pa", "Pa", "Pa", "Pa", "Pa", "Pa", "Pa", "Pa", "Pa", "Pa", "Pt", "Pt"],
  "frac_coords": [[0.000, 0.000, 0.000], [0.084, 0.501, 0.676], [0.140, 0.290, 0.127], [0.291, 0.922, 0.415], [0.324, 0.705, 0.893], [0.387, 0.447, 0.355], [0.464, 0.176, 0.838], [0.536, 0.824, 0.162], [0.613, 0.553, 0.645], [0.676, 0.295, 0.107], [0.709, 0.078, 0.585], [0.860, 0.710, 0.873], [0.916, 0.499, 0.324], [0.157, 0.117, 0.616], [0.843, 0.883, 0.384]],
  "space_group": "No. 2",
  "n_ef_per_ev_atom": 2.129
}



[8]
{
  "formula": "Pa5Pt6",
  "functional": "PBE",
  "state": "relaxed",
  "lattice_angstrom": [[2.149, -15.289, 0.000], [2.149, 15.289, 0.000], [0.000, 0.000, 3.733]],
  "species": ["Pa", "Pa", "Pa", "Pa", "Pa", "Pt", "Pt", "Pt", "Pt", "Pt", "Pt"],
  "frac_coords": [[0.000, 0.000, 0.000], [0.198, 0.802, 0.500], [0.385, 0.615, 0.000], [0.615, 0.385, 0.000], [0.802, 0.198, 0.500], [0.104, 0.896, 0.500], [0.284, 0.716, 0.000], [0.457, 0.543, 0.500], [0.543, 0.457, 0.500], [0.716, 0.284, 0.000], [0.896, 0.104, 0.500]],
  "space_group": "No. 65",
  "n_ef_per_ev_atom": 1.391
}



[9]
{
  "formula": "PaPt4",
  "functional": "PBE",
  "state": "relaxed",
  "lattice_angstrom": [[-2.121, 2.912, 7.238], [2.121, -2.912, 7.238], [2.121, 2.912, -7.238]],
  "species": ["Pa", "Pa", "Pt", "Pt", "Pt", "Pt", "Pt", "Pt", "Pt", "Pt"],
  "frac_coords": [[0.365, 0.115, 0.250], [0.635, 0.885, 0.750], [0.000, 0.500, 0.500], [0.158, 0.908, 0.250], [0.174, 0.691, 0.484], [0.293, 0.309, 0.984], [0.500, 0.500, 0.000], [0.707, 0.691, 0.016], [0.826, 0.309, 0.516], [0.842, 0.092, 0.750]],
  "space_group": "No. 74",
  "n_ef_per_ev_atom": 0.354
}



[10]
{
  "formula": "Pa3Pt5",
  "functional": "PBE",
  "state": "relaxed",
  "lattice_angstrom": [[3.505, -4.723, 0.000], [3.505, 4.723, 0.000], [0.000, 0.000, 4.964]],
  "species": ["Pa", "Pa", "Pa", "Pt", "Pt", "Pt", "Pt", "Pt"],
  "frac_coords": [[0.000, 0.000, 0.000], [0.299, 0.701, 0.500], [0.701, 0.299, 0.500], [0.000, 0.500, 0.000], [0.203, 0.203, 0.500], [0.500, 0.000, 0.000], [0.500, 0.500, 0.000], [0.797, 0.797, 0.500]],
  "space_group": "No. 65",
  "n_ef_per_ev_atom": 1.415
}



[11]
{
  "formula": "Pa4Pt",
  "functional": "PBE",
  "state": "relaxed",
  "lattice_angstrom": [[5.356, 0.000, 0.000], [0.000, 5.356, 0.000], [0.000, 0.000, 5.356]],
  "species": ["Pa", "Pa", "Pa", "Pa", "Pt"],
  "frac_coords": [[0.000, 0.000, 0.000], [0.000, 0.500, 0.500], [0.500, 0.000, 0.500], [0.500, 0.500, 0.000], [0.500, 0.500, 0.500]],
  "space_group": "No. 221",
  "n_ef_per_ev_atom": 2.578,
  "e_above_lowest_polymorph_mev_per_atom": 749.5
}



[12]
{
  "formula": "Pa3Pt",
  "functional": "PBE",
  "state": "relaxed",
  "lattice_angstrom": [[-2.227, 2.227, 4.596], [2.227, -2.227, 4.596], [2.227, 2.227, -4.596]],
  "species": ["Pa", "Pa", "Pa", "Pt"],
  "frac_coords": [[0.000, 0.000, 0.000], [0.250, 0.750, 0.500], [0.750, 0.250, 0.500], [0.500, 0.500, 0.000]],
  "space_group": "No. 139",
  "n_ef_per_ev_atom": 2.286,
  "e_above_lowest_polymorph_mev_per_atom": 167.3
}



[13]
{
  "formula": "Pu2Pa2Pt15",
  "functional": "PBE",
  "state": "relaxed",
  "lattice_angstrom": [[4.668, 2.695, 4.654], [-4.668, 2.695, 4.654], [0.000, -5.390, 4.654]],
  "species": ["Pu", "Pu", "Pa", "Pa", "Pt", "Pt", "Pt", "Pt", "Pt", "Pt", "Pt", "Pt", "Pt", "Pt", "Pt", "Pt", "Pt", "Pt", "Pt"],
  "frac_coords": [[0.144, 0.144, 0.144], [0.856, 0.856, 0.856], [0.396, 0.396, 0.396], [0.604, 0.604, 0.604], [0.000, 0.500, 0.500], [0.154, 0.154, 0.660], [0.154, 0.660, 0.154], [0.187, 0.500, 0.813], [0.187, 0.813, 0.500], [0.340, 0.846, 0.846], [0.500, 0.000, 0.500], [0.500, 0.187, 0.813], [0.500, 0.500, 0.000], [0.500, 0.813, 0.187], [0.660, 0.154, 0.154], [0.813, 0.187, 0.500], [0.813, 0.500, 0.187], [0.846, 0.340, 0.846], [0.846, 0.846, 0.340]],
  "space_group": "No. 166",
  "n_ef_per_ev_atom": 2.204
}



[14]
{
  "formula": "PuPa3Pt4",
  "functional": "PBE",
  "state": "relaxed",
  "lattice_angstrom": [[6.807, -3.550, 0.000], [6.807, 3.550, 0.000], [-5.827, 0.000, 6.917]],
  "species": ["Pu", "Pu", "Pa", "Pa", "Pa", "Pa", "Pa", "Pa", "Pt", "Pt", "Pt", "Pt", "Pt", "Pt", "Pt", "Pt"],
  "frac_coords": [[0.153, 0.153, 0.051], [0.847, 0.847, 0.949], [0.152, 0.152, 0.496], [0.342, 0.342, 0.001], [0.346, 0.346, 0.447], [0.654, 0.654, 0.553], [0.658, 0.658, 0.999], [0.848, 0.848, 0.504], [0.125, 0.694, 0.291], [0.200, 0.618, 0.784], [0.306, 0.875, 0.709], [0.382, 0.800, 0.216], [0.618, 0.200, 0.784], [0.694, 0.125, 0.291], [0.800, 0.382, 0.216], [0.875, 0.306, 0.709]],
  "space_group": "No. 12",
  "n_ef_per_ev_atom": 1.194
}



[15]
{
  "formula": "Pu2Pa3Pt4",
  "functional": "PBE",
  "state": "relaxed",
  "lattice_angstrom": [[4.407, 0.000, 0.000], [-0.501, 6.355, 0.000], [-0.482, -2.251, 7.176]],
  "species": ["Pu", "Pu", "Pa", "Pa", "Pa", "Pt", "Pt", "Pt", "Pt"],
  "frac_coords": [[0.243, 0.450, 0.137], [0.757, 0.550, 0.863], [0.356, 0.226, 0.559], [0.500, 0.000, 0.000], [0.644, 0.774, 0.441], [0.057, 0.906, 0.221], [0.203, 0.674, 0.650], [0.797, 0.326, 0.350], [0.943, 0.094, 0.779]],
  "space_group": "No. 2",
  "n_ef_per_ev_atom": 1.619
}



[16]
{
  "formula": "PuPa2Pt2",
  "functional": "PBE",
  "state": "relaxed",
  "lattice_angstrom": [[2.380, 1.374, 10.601], [-2.380, 1.374, 10.601], [0.000, -2.748, 10.601]],
  "species": ["Pu", "Pu", "Pa", "Pa", "Pa", "Pa", "Pt", "Pt", "Pt", "Pt"],
  "frac_coords": [[0.243, 0.243, 0.243], [0.757, 0.757, 0.757], [0.350, 0.350, 0.350], [0.452, 0.452, 0.452], [0.548, 0.548, 0.548], [0.650, 0.650, 0.650], [0.050, 0.050, 0.050], [0.148, 0.148, 0.148], [0.852, 0.852, 0.852], [0.950, 0.950, 0.950]],
  "space_group": "No. 166",
  "n_ef_per_ev_atom": 1.413,
  "e_above_lowest_polymorph_mev_per_atom": 0.0
}



[17]
{
  "formula": "Pu5PaPt4",
  "functional": "PBE",
  "state": "relaxed",
  "lattice_angstrom": [[7.487, -2.499, 0.000], [7.487, 2.499, 0.000], [-1.974, 0.000, 5.920]],
  "species": ["Pu", "Pu", "Pu", "Pu", "Pu", "Pa", "Pt", "Pt", "Pt", "Pt"],
  "frac_coords": [[0.000, 0.000, 0.000], [0.215, 0.215, 0.348], [0.383, 0.383, 0.073], [0.617, 0.617, 0.927], [0.785, 0.785, 0.652], [0.000, 0.000, 0.500], [0.185, 0.185, 0.817], [0.420, 0.420, 0.638], [0.580, 0.580, 0.362], [0.815, 0.815, 0.183]],
  "space_group": "No. 12",
  "n_ef_per_ev_atom": 3.894
}



[18]
{
  "formula": "Pu3Pa14Pt6",
  "functional": "PBE",
  "state": "relaxed",
  "lattice_angstrom": [[10.141, 0.000, 0.000], [-5.070, 8.782, 0.000], [0.000, 0.000, 5.995]],
  "species": ["Pu", "Pu", "Pu", "Pa", "Pa", "Pa", "Pa", "Pa", "Pa", "Pa", "Pa", "Pa", "Pa", "Pa", "Pa", "Pa", "Pa", "Pt", "Pt", "Pt", "Pt", "Pt", "Pt"],
  "frac_coords": [[0.000, 0.000, 0.000], [0.333, 0.667, 0.007], [0.667, 0.333, 0.500], [0.001, 0.501, 0.290], [0.160, 0.320, 0.148], [0.160, 0.840, 0.148], [0.308, 0.154, 0.633], [0.333, 0.667, 0.526], [0.499, 0.501, 0.290], [0.499, 0.999, 0.290], [0.503, 0.006, 0.789], [0.503, 0.497, 0.789], [0.667, 0.333, 0.023], [0.680, 0.840, 0.148], [0.846, 0.154, 0.633], [0.846, 0.692, 0.633], [0.994, 0.497, 0.789], [0.170, 0.339, 0.640], [0.170, 0.830, 0.640], [0.341, 0.170, 0.132], [0.661, 0.830, 0.640], [0.830, 0.170, 0.132], [0.830, 0.659, 0.132]],
  "space_group": "No. 156",
  "n_ef_per_ev_atom": 1.847
}



[19]
{
  "formula": "Pu2PaPt3",
  "functional": "PBE",
  "state": "relaxed",
  "lattice_angstrom": [[-2.012, 2.883, 6.228], [2.012, -2.883, 6.228], [2.012, 2.883, -6.228]],
  "species": ["Pu", "Pu", "Pa", "Pt", "Pt", "Pt"],
  "frac_coords": [[0.166, 0.166, 0.000], [0.834, 0.834, 0.000], [0.500, 0.500, 0.000], [0.000, 0.500, 0.500], [0.341, 0.841, 0.500], [0.659, 0.159, 0.500]],
  "space_group": "No. 71",
  "n_ef_per_ev_atom": 3.720,
  "e_above_lowest_polymorph_mev_per_atom": 0.0
}



[20]
{
  "formula": "Pu3PaPt2",
  "functional": "PBE",
  "state": "relaxed",
  "lattice_angstrom": [[4.255, 0.000, 0.000], [0.000, 8.127, 0.000], [0.000, 0.000, 7.681]],
  "species": ["Pu", "Pu", "Pu", "Pu", "Pu", "Pu", "Pa", "Pa", "Pt", "Pt", "Pt", "Pt"],
  "frac_coords": [[0.000, 0.074, 0.000], [0.000, 0.247, 0.493], [0.000, 0.753, 0.993], [0.000, 0.926, 0.500], [0.500, 0.216, 0.679], [0.500, 0.784, 0.179], [0.500, 0.454, 0.144], [0.500, 0.546, 0.644], [0.000, 0.415, 0.881], [0.000, 0.585, 0.381], [0.500, 0.135, 0.271], [0.500, 0.865, 0.771]],
  "space_group": "No. 26",
  "n_ef_per_ev_atom": 2.630,
  "e_above_lowest_polymorph_mev_per_atom": 0.0
}



[21]
{
  "formula": "PuPa4Pt2",
  "functional": "PBE",
  "state": "relaxed",
  "lattice_angstrom": [[9.927, 0.000, 0.000], [0.000, 6.046, 0.000], [0.000, 0.000, 10.662]],
  "species": ["Pu", "Pu", "Pu", "Pu", "Pa", "Pa", "Pa", "Pa", "Pa", "Pa", "Pa", "Pa", "Pa", "Pa", "Pa", "Pa", "Pa", "Pa", "Pa", "Pa", "Pt", "Pt", "Pt", "Pt", "Pt", "Pt", "Pt", "Pt"],
  "frac_coords": [[0.105, 0.250, 0.160], [0.395, 0.750, 0.660], [0.605, 0.250, 0.340], [0.895, 0.750, 0.840], [0.161, 0.750, 0.936], [0.171, 0.750, 0.393], [0.175, 0.012, 0.678], [0.175, 0.488, 0.678], [0.325, 0.512, 0.178], [0.325, 0.988, 0.178], [0.329, 0.250, 0.893], [0.339, 0.250, 0.436], [0.661, 0.750, 0.564], [0.671, 0.750, 0.107], [0.675, 0.012, 0.822], [0.675, 0.488, 0.822], [0.825, 0.512, 0.322], [0.825, 0.988, 0.322], [0.829, 0.250, 0.607], [0.839, 0.250, 0.064], [0.007, 0.750, 0.150], [0.049, 0.250, 0.441], [0.451, 0.750, 0.941], [0.493, 0.250, 0.650], [0.507, 0.750, 0.350], [0.549, 0.250, 0.059], [0.951, 0.750, 0.559], [0.993, 0.250, 0.850]],
  "space_group": "No. 62",
  "n_ef_per_ev_atom": 1.891
}



Which total energy belongs to each record? In order, -118.5; -56.2; -36.1; -89.9; -35.7; -74.1; -137.0; -94.0; -76.2; -65.5; -41.2; -35.5; -149.4; -148.5; -88.0; -96.9; -111.2; -221.5; -61.0; -135.7; -267.0 eV for the cell shown.